Below is a relaxed Mg2NbB2Ir5 crystal, with properties calculated at the PBE level.

Geometry as POSCAR:
```
Mg2NbB2Ir5
1.0
2.955 0.000 0.000
0.000 9.711 0.000
0.000 0.000 9.711
B Ir Mg Nb
4 10 4 2
Direct
0.000 0.121 0.621 B
0.000 0.879 0.379 B
0.000 0.621 0.879 B
0.000 0.379 0.121 B
0.500 0.000 0.500 Ir
0.500 0.278 0.572 Ir
0.500 0.928 0.222 Ir
0.500 0.222 0.072 Ir
0.500 0.572 0.722 Ir
0.500 0.500 0.000 Ir
0.500 0.722 0.428 Ir
0.500 0.072 0.778 Ir
0.500 0.778 0.928 Ir
0.500 0.428 0.278 Ir
0.000 0.322 0.822 Mg
0.000 0.822 0.678 Mg
0.000 0.178 0.322 Mg
0.000 0.678 0.178 Mg
0.000 0.500 0.500 Nb
0.000 0.000 0.000 Nb
```

Space group = No. 127
M_tot = 0.00 μB/f.u.
Calculated formation energy = -4.76 eV per formula unit